La2IrRh2 | PBE-GGA | optimized geometry

Its crystal system is tetragonal. For the spin magnetization, the calculation gives 0.000 μB per atom. The total energy is -69.8 eV/cell. The formation energy comes out at -0.297 eV per atom.

The structure belongs to space group I4/mmm (No. 139); the cell edges are 5.639, 5.639 and 7.554 Å and the angles 90.00°, 90.00° and 90.00°. The distinct sites, in fractional coordinates, are La at (0.000, 0.500, 0.250), Ir at (0.000, 0.000, 0.000) and Rh at (0.000, 0.000, 0.332).